Entry 1:
{"formula": "MnFe2AgCl", "functional": "GGA-PBE", "state": "optimized geometry", "lattice_angstrom": [[4.6288, 0.0000, 0.0000], [0.0000, 4.6288, 0.0000], [0.0000, 0.0000, 4.3017]], "species": ["Mn", "Fe", "Fe", "Ag", "Cl"], "fractional_positions": [[0.0000, 0.0000, 0.0000], [0.0000, 0.5000, 0.0000], [0.5000, 0.0000, 0.0000], [0.5000, 0.5000, 0.5000], [0.0000, 0.0000, 0.5000]], "magmom_total_mub_per_atom": 1.71, "raw_formation_energy_ev_per_atom": 1.03, "spacegroup": "P4/mmm (123)"}

Entry 2:
{"formula": "LiPr2Cu2", "functional": "GGA-PBE", "state": "optimized geometry", "lattice_angstrom": [[7.7994, 0.0000, 0.0000], [0.0000, 7.7994, 0.0000], [0.0000, 0.0000, 3.9084]], "species": ["Li", "Li", "Pr", "Pr", "Pr", "Pr", "Cu", "Cu", "Cu", "Cu"], "fractional_positions": [[0.0000, 0.0000, 0.0000], [0.5000, 0.5000, 0.0000], [0.1736, 0.3264, 0.5000], [0.3264, 0.8264, 0.5000], [0.6736, 0.1736, 0.5000], [0.8264, 0.6736, 0.5000], [0.1181, 0.6181, 0.0000], [0.3819, 0.1181, 0.0000], [0.6181, 0.8819, 0.0000], [0.8819, 0.3819, 0.0000]], "magmom_total_mub_per_atom": 0.00, "ef_kcal_per_mol_atoms": -2.42, "relative_energy_mev_per_atom": 0.0, "spacegroup": "P4/mbm (127)"}

Entry 3:
{"formula": "SmAl2Ir", "functional": "GGA-PBE", "state": "optimized geometry", "lattice_angstrom": [[15.3252, 0.0000, 0.0000], [0.0000, 7.0564, 0.0000], [0.0000, 0.0000, 5.8036]], "species": ["Sm", "Sm", "Sm", "Sm", "Sm", "Sm", "Sm", "Sm", "Al", "Al", "Al", "Al", "Al", "Al", "Al", "Al", "Al", "Al", "Al", "Al", "Al", "Al", "Al", "Al", "Ir", "Ir", "Ir", "Ir", "Ir", "Ir", "Ir", "Ir"], "fractional_positions": [[0.1001, 0.2500, 0.2480], [0.1378, 0.7500, 0.4666], [0.3622, 0.2500, 0.9666], [0.3999, 0.7500, 0.7480], [0.6001, 0.2500, 0.2520], [0.6378, 0.7500, 0.0334], [0.8622, 0.2500, 0.5334], [0.8999, 0.7500, 0.7520], [0.0448, 0.0603, 0.7657], [0.0448, 0.4397, 0.7657], [0.2096, 0.5538, 0.9469], [0.2096, 0.9462, 0.9469], [0.2904, 0.0538, 0.4469], [0.2904, 0.4462, 0.4469], [0.4552, 0.5603, 0.2657], [0.4552, 0.9397, 0.2657], [0.5448, 0.0603, 0.7343], [0.5448, 0.4397, 0.7343], [0.7096, 0.5538, 0.5531], [0.7096, 0.9462, 0.5531], [0.7904, 0.0538, 0.0531], [0.7904, 0.4462, 0.0531], [0.9552, 0.5603, 0.2343], [0.9552, 0.9397, 0.2343], [0.0695, 0.7500, 0.9932], [0.1898, 0.2500, 0.7123], [0.3102, 0.7500, 0.2123], [0.4305, 0.2500, 0.4932], [0.5695, 0.7500, 0.5068], [0.6898, 0.2500, 0.7877], [0.8102, 0.7500, 0.2877], [0.9305, 0.2500, 0.0068]], "magmom_total_mub_per_atom": 0.00, "ef_kcal_per_mol_atoms": -18.67, "spacegroup": "Pnma (62)"}

Entry 4:
{"formula": "Y6SnTe3Pb2", "functional": "GGA-PBE", "state": "optimized geometry", "lattice_angstrom": [[9.6392, -2.2094, 0.0000], [9.6392, 2.2094, 0.0000], [-2.0807, 0.0000, 8.5930]], "species": ["Y", "Y", "Y", "Y", "Y", "Y", "Sn", "Te", "Te", "Te", "Pb", "Pb"], "fractional_positions": [[0.0017, 0.0017, 0.2410], [0.3315, 0.3315, 0.4224], [0.3368, 0.3368, 0.9126], [0.6632, 0.6632, 0.0874], [0.6685, 0.6685, 0.5776], [0.9983, 0.9983, 0.7590], [0.5000, 0.5000, 0.0000], [0.1671, 0.1671, 0.8333], [0.5000, 0.5000, 0.5000], [0.8329, 0.8329, 0.1667], [0.1666, 0.1666, 0.3330], [0.8334, 0.8334, 0.6670]], "magmom_total_mub_per_atom": 0.00, "raw_formation_energy_ev_per_atom": -1.00, "spacegroup": "C2/m (12)"}

Entry 5:
{"formula": "CaAc2La3", "functional": "GGA-PBE", "state": "optimized geometry", "lattice_angstrom": [[6.7005, 0.0000, 0.0000], [1.0033, 8.4768, 0.0000], [1.0394, 0.7464, 8.5238]], "species": ["Ca", "Ca", "Ac", "Ac", "Ac", "Ac", "La", "La", "La", "La", "La", "La"], "fractional_positions": [[0.1238, 0.1223, 0.1305], [0.8762, 0.8777, 0.8695], [0.1243, 0.4537, 0.7822], [0.3810, 0.7077, 0.0439], [0.6190, 0.2923, 0.9561], [0.8757, 0.5463, 0.2178], [0.1317, 0.7908, 0.4573], [0.3788, 0.0461, 0.6888], [0.3815, 0.3750, 0.3782], [0.6185, 0.6250, 0.6218], [0.6212, 0.9539, 0.3112], [0.8683, 0.2092, 0.5427]], "magmom_total_mub_per_atom": 0.00, "ef_kcal_per_mol_atoms": 0.71, "relative_energy_mev_per_atom": 0.0, "spacegroup": "P-1 (2)"}

Entry 6:
{"formula": "Li2Pm2PrIn2", "functional": "GGA-PBE", "state": "optimized geometry", "lattice_angstrom": [[2.4874, 1.4361, 8.9171], [-2.4874, 1.4361, 8.9171], [0.0000, -2.8722, 8.9171]], "species": ["Li", "Li", "Pm", "Pm", "Pr", "In", "In"], "fractional_positions": [[0.1034, 0.1034, 0.1034], [0.8966, 0.8966, 0.8966], [0.3722, 0.3722, 0.3722], [0.6278, 0.6278, 0.6278], [0.5000, 0.5000, 0.5000], [0.2379, 0.2379, 0.2379], [0.7621, 0.7621, 0.7621]], "magmom_total_mub_per_atom": 0.00, "ef_kcal_per_mol_atoms": -5.78, "spacegroup": "R-3m (166)"}

Entry 7:
{"formula": "Cs4AgPb3F12", "functional": "GGA-PBE", "state": "optimized geometry", "lattice_angstrom": [[-4.7966, 4.7966, 4.7966], [4.7966, -4.7966, 4.7966], [4.7966, 4.7966, -4.7966]], "species": ["Cs", "Cs", "Cs", "Cs", "Ag", "Pb", "Pb", "Pb", "F", "F", "F", "F", "F", "F", "F", "F", "F", "F", "F", "F"], "fractional_positions": [[0.0000, 0.0000, 0.5000], [0.0000, 0.5000, 0.0000], [0.5000, 0.0000, 0.0000], [0.5000, 0.5000, 0.5000], [0.0000, 0.0000, 0.0000], [0.0000, 0.5000, 0.5000], [0.5000, 0.0000, 0.5000], [0.5000, 0.5000, 0.0000], [0.0000, 0.2491, 0.2491], [0.0000, 0.7509, 0.7509], [0.2491, 0.0000, 0.2491], [0.2491, 0.2491, 0.0000], [0.2500, 0.5000, 0.7500], [0.2500, 0.7500, 0.5000], [0.5000, 0.2500, 0.7500], [0.5000, 0.7500, 0.2500], [0.7500, 0.2500, 0.5000], [0.7500, 0.5000, 0.2500], [0.7509, 0.0000, 0.7509], [0.7509, 0.7509, 0.0000]], "magmom_total_mub_per_atom": 0.00, "raw_formation_energy_ev_per_atom": -2.36, "spacegroup": "Im-3m (229)"}

Entry 8:
{"formula": "Ba5Ga2Au2", "functional": "GGA-PBE", "state": "optimized geometry", "lattice_angstrom": [[9.0244, -4.3169, 0.0000], [9.0244, 4.3169, 0.0000], [0.0000, 0.0000, 8.7609]], "species": ["Ba", "Ba", "Ba", "Ba", "Ba", "Ba", "Ba", "Ba", "Ba", "Ba", "Ga", "Ga", "Ga", "Ga", "Au", "Au", "Au", "Au"], "fractional_positions": [[0.0000, 0.0000, 0.0000], [0.0266, 0.6853, 0.6697], [0.1853, 0.5266, 0.1697], [0.3147, 0.9734, 0.6697], [0.4734, 0.8147, 0.1697], [0.5000, 0.5000, 0.5000], [0.5266, 0.1853, 0.8303], [0.6853, 0.0266, 0.3303], [0.8147, 0.4734, 0.8303], [0.9734, 0.3147, 0.3303], [0.1020, 0.8980, 0.3953], [0.3980, 0.6020, 0.8953], [0.6020, 0.3980, 0.1047], [0.8980, 0.1020, 0.6047], [0.1990, 0.1990, 0.0000], [0.3010, 0.3010, 0.5000], [0.6990, 0.6990, 0.5000], [0.8010, 0.8010, 0.0000]], "magmom_total_mub_per_atom": 0.00, "ef_kcal_per_mol_atoms": -11.11, "spacegroup": "Cmce (64)"}

Entry 9:
{"formula": "Li2CN", "functional": "GGA-PBE", "state": "optimized geometry", "lattice_angstrom": [[-1.5325, 1.5325, 6.9150], [1.5325, -1.5325, 6.9150], [1.5325, 1.5325, -6.9150]], "species": ["Li", "Li", "Li", "Li", "C", "C", "N", "N"], "fractional_positions": [[0.1112, 0.6250, 0.9862], [0.3750, 0.3612, 0.4862], [0.6388, 0.1250, 0.0138], [0.8750, 0.8888, 0.5138], [0.2500, 0.7500, 0.5000], [0.5000, 0.5000, 0.0000], [0.0000, 0.0000, 0.0000], [0.7500, 0.2500, 0.5000]], "magmom_total_mub_per_atom": 0.00, "raw_formation_energy_ev_per_atom": 1.27, "spacegroup": "I-42d (122)"}

Entry 10:
{"formula": "Co2Cu2Ni3", "functional": "GGA-PBE", "state": "optimized geometry", "lattice_angstrom": [[1.9111, -8.4447, 0.0000], [1.9111, 8.4447, 0.0000], [0.0000, 0.0000, 2.4483]], "species": ["Co", "Co", "Cu", "Cu", "Ni", "Ni", "Ni"], "fractional_positions": [[0.2151, 0.7849, 0.0000], [0.7849, 0.2151, 0.0000], [0.0719, 0.9281, 0.0000], [0.9281, 0.0719, 0.0000], [0.3505, 0.6495, 0.5000], [0.5000, 0.5000, 0.5000], [0.6495, 0.3505, 0.5000]], "magmom_total_mub_per_atom": 0.67, "ef_kcal_per_mol_atoms": 2.18, "spacegroup": "Cmmm (65)"}

Entry 11:
{"formula": "Rb3Mn2Br8", "functional": "GGA-PBE", "state": "optimized geometry", "lattice_angstrom": [[3.8042, 2.1963, 9.8256], [-3.8042, 2.1963, 9.8256], [0.0000, -4.3927, 9.8256]], "species": ["Rb", "Rb", "Rb", "Mn", "Mn", "Br", "Br", "Br", "Br", "Br", "Br", "Br", "Br"], "fractional_positions": [[0.0000, 0.0000, 0.0000], [0.2073, 0.2073, 0.2073], [0.7927, 0.7927, 0.7927], [0.4057, 0.4057, 0.4057], [0.5943, 0.5943, 0.5943], [0.2204, 0.7356, 0.7356], [0.2644, 0.2644, 0.7796], [0.2644, 0.7796, 0.2644], [0.3233, 0.3233, 0.3233], [0.6767, 0.6767, 0.6767], [0.7356, 0.2204, 0.7356], [0.7356, 0.7356, 0.2204], [0.7796, 0.2644, 0.2644]], "magmom_total_mub_per_atom": 0.69, "raw_formation_energy_ev_per_atom": -1.20, "spacegroup": "R-3m (166)"}

Entry 12:
{"formula": "CsYAs2Br", "functional": "GGA-PBE", "state": "optimized geometry", "lattice_angstrom": [[5.5575, 0.0000, 0.0000], [0.0000, 5.5575, 0.0000], [0.0000, 0.0000, 5.9235]], "species": ["Cs", "Y", "As", "As", "Br"], "fractional_positions": [[0.0000, 0.0000, 0.0000], [0.5000, 0.5000, 0.5000], [0.0000, 0.5000, 0.5000], [0.5000, 0.0000, 0.5000], [0.5000, 0.5000, 0.0000]], "magmom_total_mub_per_atom": 0.20, "relative_energy_mev_per_atom": 0.0, "raw_formation_energy_ev_per_atom": -0.67, "spacegroup": "P4/mmm (123)"}

Entry 13:
{"formula": "TmMg2Zn6", "functional": "GGA-PBE", "state": "optimized geometry", "lattice_angstrom": [[-1.6693, 3.7578, 6.5811], [1.6693, -3.7578, 6.5811], [1.6693, 3.7578, -6.5811]], "species": ["Tm", "Mg", "Mg", "Zn", "Zn", "Zn", "Zn", "Zn", "Zn"], "fractional_positions": [[0.0000, 0.0000, 0.0000], [0.3598, 0.8598, 0.5000], [0.6402, 0.1402, 0.5000], [0.0020, 0.3238, 0.6782], [0.3287, 0.5000, 0.8287], [0.3545, 0.6762, 0.6782], [0.6455, 0.3238, 0.3218], [0.6713, 0.5000, 0.1713], [0.9980, 0.6762, 0.3218]], "magmom_total_mub_per_atom": 0.00, "ef_kcal_per_mol_atoms": -3.42, "relative_energy_mev_per_atom": 17.3, "spacegroup": "Immm (71)"}

Entry 14:
{"formula": "LaTeP2", "functional": "GGA-PBE", "state": "optimized geometry", "lattice_angstrom": [[3.2182, -3.6076, 0.0000], [3.2182, 3.6076, 0.0000], [0.0000, 0.0000, 3.8973]], "species": ["La", "Te", "P", "P"], "fractional_positions": [[0.0000, 0.0000, 0.0000], [0.5000, 0.5000, 0.0000], [0.0000, 0.5000, 0.5000], [0.5000, 0.0000, 0.5000]], "magmom_total_mub_per_atom": 0.00, "raw_formation_energy_ev_per_atom": -0.50, "spacegroup": "Cmmm (65)"}

Entry 15:
{"formula": "Be6Nb2Pt", "functional": "GGA-PBE", "state": "optimized geometry", "lattice_angstrom": [[4.9565, 0.0000, 0.0000], [-2.4783, 4.2925, 0.0000], [0.0000, 0.0000, 4.7856]], "species": ["Be", "Be", "Be", "Be", "Be", "Be", "Nb", "Nb", "Pt"], "fractional_positions": [[0.1869, 0.3739, 0.3404], [0.1869, 0.8131, 0.3404], [0.3739, 0.1869, 0.6596], [0.6261, 0.8131, 0.3404], [0.8131, 0.1869, 0.6596], [0.8131, 0.6261, 0.6596], [0.3333, 0.6667, 0.8549], [0.6667, 0.3333, 0.1451], [0.0000, 0.0000, 0.0000]], "magmom_total_mub_per_atom": 0.00, "ef_kcal_per_mol_atoms": -5.98, "spacegroup": "P-3m1 (164)"}

Entry 16:
{"formula": "Ag4MoAs", "functional": "GGA-PBE", "state": "optimized geometry", "lattice_angstrom": [[0.0000, 3.8689, 3.8689], [3.8689, 0.0000, 3.8689], [3.8689, 3.8689, 0.0000]], "species": ["Ag", "Ag", "Ag", "Ag", "Mo", "As"], "fractional_positions": [[0.1253, 0.1253, 0.1253], [0.1253, 0.1253, 0.6240], [0.1253, 0.6240, 0.1253], [0.6240, 0.1253, 0.1253], [0.5000, 0.5000, 0.5000], [0.7500, 0.7500, 0.7500]], "magmom_total_mub_per_atom": 0.64, "ef_kcal_per_mol_atoms": 14.60, "spacegroup": "F-43m (216)"}

Entry 17:
{"formula": "Tb8TlCu2", "functional": "GGA-PBE", "state": "optimized geometry", "lattice_angstrom": [[8.5312, -2.5027, 0.0000], [8.5312, 2.5027, 0.0000], [-3.1157, 0.0000, 7.0398]], "species": ["Tb", "Tb", "Tb", "Tb", "Tb", "Tb", "Tb", "Tb", "Tl", "Cu", "Cu"], "fractional_positions": [[0.0484, 0.0484, 0.2558], [0.1853, 0.1853, 0.7859], [0.3156, 0.3156, 0.5192], [0.4033, 0.4033, 0.0279], [0.5967, 0.5967, 0.9721], [0.6844, 0.6844, 0.4808], [0.8147, 0.8147, 0.2141], [0.9516, 0.9516, 0.7442], [0.5000, 0.5000, 0.5000], [0.1906, 0.1906, 0.1537], [0.8094, 0.8094, 0.8463]], "magmom_total_mub_per_atom": 0.00, "ef_kcal_per_mol_atoms": -3.00, "relative_energy_mev_per_atom": 0.0, "spacegroup": "C2/m (12)"}

Entry 18:
{"formula": "Ba2LiPt2", "functional": "GGA-PBE", "state": "optimized geometry", "lattice_angstrom": [[8.1031, 0.0000, 0.0000], [0.0000, 8.1031, 0.0000], [0.0000, 0.0000, 4.4801]], "species": ["Ba", "Ba", "Ba", "Ba", "Li", "Li", "Pt", "Pt", "Pt", "Pt"], "fractional_positions": [[0.1730, 0.3270, 0.0000], [0.3270, 0.8270, 0.0000], [0.6730, 0.1730, 0.0000], [0.8270, 0.6730, 0.0000], [0.0000, 0.0000, 0.5000], [0.5000, 0.5000, 0.5000], [0.1219, 0.6219, 0.5000], [0.3781, 0.1219, 0.5000], [0.6219, 0.8781, 0.5000], [0.8781, 0.3781, 0.5000]], "magmom_total_mub_per_atom": 0.00, "ef_kcal_per_mol_atoms": -12.17, "relative_energy_mev_per_atom": 102.6, "spacegroup": "P4/mbm (127)"}

Entry 19:
{"formula": "Sm2Dy4Tm7", "functional": "GGA-PBE", "state": "optimized geometry", "lattice_angstrom": [[6.1987, 0.0000, 0.0000], [1.1598, 8.5947, 0.0000], [1.1694, 3.0702, 8.0537]], "species": ["Sm", "Sm", "Dy", "Dy", "Dy", "Dy", "Tm", "Tm", "Tm", "Tm", "Tm", "Tm", "Tm"], "fractional_positions": [[0.1857, 0.3526, 0.0131], [0.8143, 0.6474, 0.9869], [0.3339, 0.2308, 0.5912], [0.3535, 0.7857, 0.7804], [0.6465, 0.2143, 0.2196], [0.6661, 0.7692, 0.4088], [0.1145, 0.6074, 0.6059], [0.1909, 0.0059, 0.3593], [0.3370, 0.5934, 0.2309], [0.5000, 0.0000, 0.0000], [0.6630, 0.4066, 0.7691], [0.8091, 0.9941, 0.6407], [0.8855, 0.3926, 0.3941]], "magmom_total_mub_per_atom": 0.00, "ef_kcal_per_mol_atoms": 4.34, "spacegroup": "P-1 (2)"}